LiTb2Mg3 | PBE | relaxed

* ΔH_f (0 K): -61 meV per atom
* total magnetization: 0.00 Bohr magnetons per cell
* calculated volume: 25.5 Å³/atom
* density of states at the Fermi level: 0.97 states/eV per atom

Cell: 3.6731 3.6731 11.3533 Å, 90.00 90.00 90.00°
Closest atoms and distances in Å follow each position.
Space group P4/mmm (No. 123)
Inequivalent atoms, fractional coordinates:
Li 0.0000 0.0000 0.0000 [1 per cell]  8 Mg 3.07
Tb 0.0000 0.0000 0.3317 [2 per cell]  8 Mg 3.22-3.35
Mg 0.5000 0.5000 0.1449 [2 per cell]  4 Li 3.07, 1 Mg 3.29, 4 Tb 3.35
Mg 0.5000 0.5000 0.5000 [1 per cell]  8 Tb 3.22